(1)
Below is a relaxed SrLiMoN3 crystal, with properties calculated at the PBE level.

Lattice parameters (Å, degrees): 7.437 6.872 7.417 90.00 106.31 90.00
Space group C2/m (No. 12)
Inequivalent atoms, fractional coordinates:
Sr  0.176  0.000  0.203 x4
Li  0.000  0.211  0.500 x4
Mo  0.118  0.500  0.219 x4
N  0.042  0.292  0.805 x8
N  0.224  0.000  0.547 x4

Summary:
crystal system	monoclinic
DFT total energy	-166.2	eV per cell
formation energy (no corrections)	-358	meV/atom



(2)
Below is a relaxed Li3Ta2MoN6 crystal, with properties calculated at the PBE level.

Lattice parameters (Å, degrees): 5.296 9.172 5.407 90.00 109.09 90.00
Space group C2/m (No. 12)
Inequivalent atoms, fractional coordinates:
Li  0.000  0.000  0.000 x2
Li  0.000  0.336  0.000 x4
Ta  0.000  0.167  0.500 x4
Mo  0.000  0.500  0.500 x2
N  0.240  0.334  0.723 x8
N  0.243  0.000  0.724 x4

Summary:
crystal system	monoclinic
DFT total energy	-199.9	eV per cell
formation energy (no corrections)	-808	meV/atom



(3)
Below is a relaxed Li2TaMo3N6 crystal, with properties calculated at the PBE level.

Lattice parameters (Å, degrees): 5.142 9.011 5.317 90.00 107.96 90.00
Space group C2/m (No. 12)
Inequivalent atoms, fractional coordinates:
Li  0.000  0.163  0.000 x4
Ta  0.000  0.500  0.000 x2
Mo  0.000  0.000  0.500 x2
Mo  0.000  0.313  0.500 x4
N  0.235  0.500  0.732 x4
N  0.250  0.164  0.762 x8

Summary:
crystal system	monoclinic
DFT total energy	-213.2	eV per cell
formation energy (no corrections)	-707	meV/atom